The following is a DFT calculation (PBE) of a geometry-optimized UAg2PdSe4 structure.

Summary:
The value obtained for the total magnetization is 2.7 μB/cell. As for the space group: Cmcm. Its theoretical density is 8.3 g/cm3. Its formation energy without anion corrections is -318 kJ/mol of formula units.

a = 6.944 Å, b = 6.944 Å, c = 13.521 Å
α = 90.00°, β = 90.00°, γ = 147.57°
Atoms (fractional coordinates):
U  0.126  0.874  0.750
U  0.874  0.126  0.250
Ag  0.374  0.626  0.574
Ag  0.374  0.626  0.926
Ag  0.626  0.374  0.074
Ag  0.626  0.374  0.426
Pd  0.159  0.841  0.250
Pd  0.841  0.159  0.750
Se  0.000  0.000  0.000
Se  0.000  0.000  0.500
Se  0.294  0.706  0.116
Se  0.294  0.706  0.384
Se  0.474  0.526  0.750
Se  0.526  0.474  0.250
Se  0.706  0.294  0.616
Se  0.706  0.294  0.884

The following is a DFT calculation (PBE) of a geometry-optimized BaPrInSe4 structure.

Summary:
The value obtained for the total magnetization is 0.0 μB/cell. As for the space group: P2_1/m. Its theoretical density is 5.3 g/cm3. Its formation energy without anion corrections is -956 kJ/mol of formula units.

a = 7.190 Å, b = 7.253 Å, c = 8.896 Å
α = 90.00°, β = 107.12°, γ = 90.00°
Atoms (fractional coordinates):
Ba  0.239  0.250  0.056
Ba  0.761  0.750  0.944
Pr  0.223  0.250  0.556
Pr  0.777  0.750  0.444
In  0.238  0.750  0.324
In  0.762  0.250  0.676
Se  0.017  0.516  0.727
Se  0.017  0.984  0.727
Se  0.443  0.750  0.132
Se  0.465  0.750  0.605
Se  0.535  0.250  0.395
Se  0.557  0.250  0.868
Se  0.983  0.016  0.273
Se  0.983  0.484  0.273

The following is a DFT calculation (PBE) of a geometry-optimized Mn2CdCo2 structure.

Summary:
The value obtained for the total magnetization is 3.7 μB/cell. As for the space group: P4/mbm. Its polymorph energy (0 for the lowest one) is 87 meV per atom. Its theoretical density is 8.9 g/cm3. The energy of formation from the pure elements comes out at 331 meV per atom.

a = 7.022 Å, b = 7.022 Å, c = 2.567 Å
α = 90.00°, β = 90.00°, γ = 90.00°
Atoms (fractional coordinates):
Mn  0.114  0.386  0.000
Mn  0.386  0.886  0.000
Mn  0.614  0.114  0.000
Mn  0.886  0.614  0.000
Cd  0.000  0.000  0.000
Cd  0.500  0.500  0.000
Co  0.173  0.673  0.500
Co  0.327  0.173  0.500
Co  0.673  0.827  0.500
Co  0.827  0.327  0.500

The following is a DFT calculation (PBE) of a geometry-optimized Cs5K2Au4 structure.

Summary:
The value obtained for the total magnetization is 0.0 μB/cell. As for the space group: C2/m. Its theoretical density is 4.1 g/cm3. The energy of formation from the pure elements comes out at -229 meV per atom.

a = 14.947 Å, b = 14.947 Å, c = 8.540 Å
α = 94.43°, β = 94.43°, γ = 19.03°
Atoms (fractional coordinates):
Cs  0.000  0.000  0.000
Cs  0.285  0.285  0.289
Cs  0.373  0.373  0.825
Cs  0.627  0.627  0.175
Cs  0.715  0.715  0.711
K  0.066  0.066  0.562
K  0.934  0.934  0.438
Au  0.174  0.174  0.436
Au  0.488  0.488  0.664
Au  0.512  0.512  0.336
Au  0.826  0.826  0.564